# meta-GGA SCAN La2ZrSe, PBEsol geometry
data_La2ZrSe
_chemical_formula_sum 'La2 Zr1 Se1'
_cell_length_a 3.498
_cell_length_b 5.430
_cell_length_c 5.447
_cell_angle_alpha 90.00
_cell_angle_beta 90.00
_cell_angle_gamma 90.00
_space_group_name_H-M_alt 'P m m m'
_space_group_IT_number 47
_space_group_name_Hall '-P 2 2'
loop_
_atom_site_label
_atom_site_fract_x
_atom_site_fract_y
_atom_site_fract_z
_atom_site_occupancy
La1 0.000 0.000 0.000 1
La2 0.000 0.500 0.500 1
Zr1 0.500 0.000 0.500 1
Se1 0.500 0.500 0.000 1
# - DOS(E_F) (states/eV/cell) = 3.484
# - formation energy without anion corrections (eV/atom) = -0.579



# meta-GGA SCAN La2ZrSe, PBEsol geometry
data_La2ZrSe
_chemical_formula_sum 'La2 Zr1 Se1'
_cell_length_a 3.551
_cell_length_b 3.551
_cell_length_c 8.595
_cell_angle_alpha 90.00
_cell_angle_beta 90.00
_cell_angle_gamma 90.00
_space_group_name_H-M_alt 'P 4/m m m'
_space_group_IT_number 123
_space_group_name_Hall '-P 4 2'
loop_
_atom_site_label
_atom_site_fract_x
_atom_site_fract_y
_atom_site_fract_z
_atom_site_occupancy
La1 0.000 0.000 0.222 1
Zr1 0.500 0.500 0.500 1
Se1 0.500 0.500 0.000 1
# - DOS(E_F) (states/eV/cell) = 4.260
# - formation energy without anion corrections (eV/atom) = -0.687